Entry 1:
Compound: CoB4Os
Source: OQMD via LeMat-Bulk
Functional: PBE
Structure: optimized geometry

Results
* crystal system: hexagonal
* final energy: -7.2213 eV/atom
* ΔE to the lowest computed polymorph: 50.9 meV/atom

Unit cell a=2.977 b=2.977 c=6.363 alpha=90.00 beta=90.00 gamma=120.00
Last column: magnetic moment on the atom in μB.
Fractional positions:
B  0.667  0.333  0.230  0.00
B  0.333  0.667  0.230  0.00
B  0.333  0.667  0.770  0.00
B  0.667  0.333  0.770  0.00
Os  0.000  0.000  0.500  0.06
Co  0.000  0.000  0.000  0.02



Entry 2:
Compound: Sc2GaGeIr4
Source: OQMD via LeMat-Bulk
Functional: PBE
Structure: optimized geometry

Results
* crystal system: orthorhombic
* final energy: -7.5903 eV/atom

Unit cell a=6.956 b=5.378 c=5.378 alpha=40.92 beta=90.00 gamma=90.00
Fractional positions:
Sc  0.000  0.549  0.549
Sc  0.500  0.450  0.450
Ir  0.299  0.125  0.125
Ir  0.796  0.877  0.877
Ir  0.701  0.125  0.125
Ir  0.204  0.877  0.877
Ga  0.000  0.267  0.267
Ge  0.500  0.732  0.732



Entry 3:
Compound: TaCdSn2
Source: OQMD via LeMat-Bulk
Functional: PBE
Structure: optimized geometry

Results
* crystal system: cubic
* final energy: -4.5343 eV/atom

Unit cell a=5.059 b=5.059 c=5.059 alpha=60.00 beta=60.00 gamma=60.00
Last column: magnetic moment on the atom in μB.
Fractional positions:
Sn  0.000  0.000  0.000  0.00
Sn  0.250  0.250  0.250  0.00
Ta  0.750  0.750  0.750  0.71
Cd  0.500  0.500  0.500  0.00